Gd2Ni2Br: optimized geometry, PBE.

a = 3.9818 Å, b = 3.9818 Å, c = 8.1778 Å
α = 90.00°, β = 90.00°, γ = 120.00°
With the nearest neighbours (Å) after each atom.
Fractional positions:
Br1 0.6667 0.3333 0.0000  6 Gd 3.26
Gd1 0.0000 0.0000 0.2830  6 Ni 2.90
Gd2 0.0000 0.0000 0.7170  6 Ni 2.90
Ni1 0.6667 0.3333 0.5000  3 Ni 2.30
Ni2 0.3333 0.6667 0.5000  3 Ni 2.30

Size of the total moment   0.03 μB/f.u.
Calculated total energy   -5.22 eV per atom